Nd2FeO5: relaxed, PBE with a Hubbard U.

Cell: 10.834 3.873 11.423 Å, 90.00 90.00 90.00°
Space group Pnma (No. 62)
Unique sites:
Nd 0.091 0.250 0.218 [4 per cell]
Nd 0.137 0.250 0.560 [4 per cell]
Fe 0.196 0.250 0.873 [4 per cell]
O 0.014 0.750 0.600 [4 per cell]
O 0.033 0.250 0.825 [4 per cell]
O 0.217 0.250 0.035 [4 per cell]
O 0.224 0.750 0.227 [4 per cell]
O 0.248 0.750 0.877 [4 per cell]

Results
magnetization = 0.495 μB per atom
electronic total energy = -241.32 eV per cell